# HfBi2AsP

A relaxed structure of HfBi2AsP (GGA-PBEsol, Alexandria).

Cell lengths 4.9030, 5.5675, 5.5675 Å; angles 90.00, 90.00, 90.00 degrees
Positions (direct):
P 0.5000 0.5000 0.5000
As 0.5000 0.0000 0.0000
Hf 0.0000 0.0000 0.0000
Bi 0.0000 0.0000 0.5000
Bi 0.0000 0.5000 0.0000

Summary:
uncorrected energy	-26.2	eV per cell
magnetic moment	0.0	μB/cell
symmetry	P4/mmm (123)
formation energy from the elements	17.3	kcal/mol of atoms

---

# HgBiAs2

A relaxed structure of HgBiAs2 (GGA-PBEsol, Alexandria).

Cell lengths 6.2380, 6.2380, 7.7574 Å; angles 113.71, 113.71, 90.00 degrees
Positions (direct):
As 0.8536 0.3750 0.2500
As 0.3964 0.8750 0.2500
As 0.6250 0.6036 0.7500
As 0.1250 0.1464 0.7500
Bi 0.2500 0.7500 0.5000
Bi 0.0000 0.0000 0.0000
Hg 0.7500 0.2500 0.5000
Hg 0.5000 0.5000 0.0000

Summary:
uncorrected energy	-28.2	eV per cell
magnetic moment	0.0	μB/cell
symmetry	I-42d (122)
formation energy from the elements	5.6	kcal/mol of atoms

---

# HgBiAs3

A relaxed structure of HgBiAs3 (GGA-PBEsol, Alexandria).

Cell lengths 5.4114, 5.4114, 5.4114 Å; angles 90.00, 90.00, 90.00 degrees
Positions (direct):
As 0.0000 0.5000 0.0000
As 0.0000 0.0000 0.5000
As 0.5000 0.0000 0.0000
Bi 0.0000 0.0000 0.0000
Hg 0.5000 0.5000 0.5000

Summary:
uncorrected energy	-14.5	eV per cell
magnetic moment	0.0	μB/cell
symmetry	Pm-3m (221)
formation energy from the elements	26.2	kcal/mol of atoms

---

# MgHgBi2As

A relaxed structure of MgHgBi2As (GGA-PBEsol, Alexandria).

Cell lengths 5.0081, 5.4576, 5.4576 Å; angles 90.00, 90.00, 90.00 degrees
Positions (direct):
Mg 0.0000 0.0000 0.0000
As 0.5000 0.5000 0.5000
Bi 0.0000 0.0000 0.5000
Bi 0.0000 0.5000 0.0000
Hg 0.5000 0.0000 0.0000

Summary:
uncorrected energy	-12.9	eV per cell
magnetic moment	0.0	μB/cell
symmetry	P4/mmm (123)
formation energy from the elements	14.0	kcal/mol of atoms

---

# HgBiAsSe2

A relaxed structure of HgBiAsSe2 (GGA-PBEsol, Alexandria).

Cell lengths 5.4117, 5.4117, 5.4909 Å; angles 90.00, 90.00, 90.00 degrees
Site moments in Bohr magnetons follow the coordinates.
Positions (direct):
As 0.0000 0.0000 0.5000  0.41
Bi 0.0000 0.0000 0.0000  0.00
Se 0.0000 0.5000 0.0000  0.04
Se 0.5000 0.0000 0.0000  0.04
Hg 0.5000 0.5000 0.5000  0.00

Summary:
uncorrected energy	-14.1	eV per cell
magnetic moment	1.0	μB/cell
E_form (uncorrected)	0.72	eV/atom
symmetry	P4/mmm (123)

---

# InBi3As

A relaxed structure of InBi3As (GGA-PBEsol, Alexandria).

Cell lengths 5.5875, 5.5875, 5.5875 Å; angles 90.00, 90.00, 90.00 degrees
Positions (direct):
As 0.5000 0.5000 0.5000
Bi 0.0000 0.5000 0.0000
Bi 0.0000 0.0000 0.5000
Bi 0.5000 0.0000 0.0000
In 0.0000 0.0000 0.0000

Summary:
uncorrected energy	-16.1	eV per cell
magnetic moment	0.0	μB/cell
symmetry	Pm-3m (221)
formation energy from the elements	22.2	kcal/mol of atoms

---

# BiAs2Ir

A relaxed structure of BiAs2Ir (GGA-PBEsol, Alexandria).

Cell lengths 6.1211, 6.1211, 7.0772 Å; angles 115.62, 115.62, 90.00 degrees
Positions (direct):
As 0.4428 0.8750 0.2500
As 0.8072 0.3750 0.2500
As 0.1250 0.1928 0.7500
As 0.6250 0.5572 0.7500
Ir 0.7500 0.2500 0.5000
Ir 0.5000 0.5000 0.0000
Bi 0.2500 0.7500 0.5000
Bi 0.0000 0.0000 0.0000

Summary:
uncorrected energy	-47.3	eV per cell
magnetic moment	0.0	μB/cell
symmetry	I-42d (122)
formation energy from the elements	3.8	kcal/mol of atoms

---

# K2BiAs2

A relaxed structure of K2BiAs2 (GGA-PBEsol, Alexandria).

Cell lengths 5.1679, 7.5202, 7.5202 Å; angles 90.00, 90.00, 90.00 degrees
Positions (direct):
K 0.5000 0.1785 0.6785
K 0.5000 0.6785 0.8215
K 0.5000 0.8215 0.3215
K 0.5000 0.3215 0.1785
As 0.0000 0.3854 0.8854
As 0.0000 0.8854 0.6146
As 0.0000 0.6146 0.1146
As 0.0000 0.1146 0.3854
Bi 0.0000 0.0000 0.0000
Bi 0.0000 0.5000 0.5000

Summary:
uncorrected energy	-36.8	eV per cell
magnetic moment	0.0	μB/cell
symmetry	P4/mbm (127)
formation energy from the elements	-7.6	kcal/mol of atoms